V2ZnMoN | the Alexandria database | PBE | relaxed; formation energy (no corrections) = -0.3480 eV/atom; SG = P4/mmm; calculated total energy = -8.08 eV/atom; total moment = 0.00 μB/cell; D(E_F) = 7.33 states/eV/f.u.
1.0
-1.1323 0.7723 3.6751
2.8812 -2.2832 1.3675
2.5457 3.2706 0.0970
Mo N Zn V
1 1 1 2
direct
0.0000 0.0000 0.5000
0.0000 0.0000 0.0000
0.5000 0.5000 0.5000
0.0000 0.5000 0.0000
0.5000 0.0000 0.0000



Zr2VMoN | the Alexandria database | PBE | relaxed; formation energy (no corrections) = -0.5777 eV/atom; SG = P4/mmm; calculated total energy = -9.65 eV/atom; total moment = 0.01 μB/cell; D(E_F) = 6.01 states/eV/f.u.
1.0
-2.5286 -1.1908 3.6630
-0.8579 -4.0976 -1.9244
3.0718 -1.4219 1.6583
Mo N Zr V
1 1 2 1
direct
0.5000 0.5000 0.5000
0.0000 0.0000 0.0000
0.0000 0.5000 0.0000
0.5000 0.0000 0.0000
0.0000 0.0000 0.5000



MoW3N | the Alexandria database | PBE | relaxed; energy above the most stable polymorph in this dataset = 0.00 eV per formula unit; formation energy (no corrections) = 0.0930 eV/atom; SG = Pm-3m; calculated total energy = -11.51 eV/atom; total moment = 0.00 μB/cell; D(E_F) = 6.01 states/eV/f.u.
1.0
4.1417 0.0000 0.0000
0.0000 4.1417 0.0000
0.0000 0.0000 4.1417
Mo W N
1 3 1
direct
0.5000 0.5000 0.5000
0.0000 0.5000 0.0000
0.0000 0.0000 0.5000
0.5000 0.0000 0.0000
0.0000 0.0000 0.0000



MoWN2 | the Alexandria database | PBE | relaxed; energy above the most stable polymorph in this dataset = 1.60 eV per formula unit; formation energy (no corrections) = 0.1198 eV/atom; SG = R-3m; calculated total energy = -9.99 eV/atom; total moment = 0.00 μB/cell; D(E_F) = 4.30 states/eV/f.u.
1.0
5.2839 1.0938 4.1687
6.1489 -1.2401 2.6735
6.4887 1.4142 1.5463
Mo W N
1 1 2
direct
0.0000 0.0000 0.0000
0.5000 0.5000 0.5000
0.8964 0.8964 0.8964
0.1036 0.1036 0.1036



MoWN3 | the Alexandria database | PBE | relaxed; formation energy (no corrections) = 0.0439 eV/atom; SG = P-1; calculated total energy = -9.71 eV/atom; total moment = 0.00 μB/cell; D(E_F) = 1.07 states/eV/f.u.
1.0
-3.4941 0.5160 -4.7877
-2.3436 -5.9788 3.6337
-1.9585 5.9289 4.6550
Mo W N
4 4 12
direct
0.8349 0.2296 0.5739
0.1651 0.7704 0.4261
0.8271 0.5568 0.8986
0.1729 0.4432 0.1014
0.2351 0.0788 0.1586
0.7649 0.9212 0.8414
0.2626 0.6611 0.8052
0.7374 0.3389 0.1948
0.5969 0.6998 0.9428
0.4031 0.3002 0.0572
0.1357 0.9764 0.3420
0.8643 0.0236 0.6580
0.0933 0.8459 0.9281
0.9067 0.1541 0.0719
0.8386 0.5866 0.3799
0.1614 0.4134 0.6201
0.4016 0.8582 0.6837
0.5984 0.1418 0.3163
0.3556 0.6805 0.2852
0.6444 0.3195 0.7148



MoWN3 | the Alexandria database | PBE | relaxed; formation energy (no corrections) = 0.7605 eV/atom; SG = Pm-3m; calculated total energy = -8.99 eV/atom; total moment = 2.72 μB/cell; D(E_F) = 2.67 states/eV/f.u.
1.0
3.9231 0.0000 0.0000
0.0000 3.9231 0.0000
0.0000 0.0000 3.9231
Mo W N
1 1 3
direct
0.5000 0.5000 0.5000
0.0000 0.0000 0.0000
0.0000 0.5000 0.0000
0.0000 0.0000 0.5000
0.5000 0.0000 0.0000



Copy entry 5 word for word.
MoWN3 | the Alexandria database | PBE | relaxed; formation energy (no corrections) = 0.0439 eV/atom; SG = P-1; calculated total energy = -9.71 eV/atom; total moment = 0.00 μB/cell; D(E_F) = 1.07 states/eV/f.u.
1.0
-3.4941 0.5160 -4.7877
-2.3436 -5.9788 3.6337
-1.9585 5.9289 4.6550
Mo W N
4 4 12
direct
0.8349 0.2296 0.5739
0.1651 0.7704 0.4261
0.8271 0.5568 0.8986
0.1729 0.4432 0.1014
0.2351 0.0788 0.1586
0.7649 0.9212 0.8414
0.2626 0.6611 0.8052
0.7374 0.3389 0.1948
0.5969 0.6998 0.9428
0.4031 0.3002 0.0572
0.1357 0.9764 0.3420
0.8643 0.0236 0.6580
0.0933 0.8459 0.9281
0.9067 0.1541 0.0719
0.8386 0.5866 0.3799
0.1614 0.4134 0.6201
0.4016 0.8582 0.6837
0.5984 0.1418 0.3163
0.3556 0.6805 0.2852
0.6444 0.3195 0.7148



The lowest D(E_F) belongs to which entry?
number 5



Which value of D(E_F) does entry 4 give?
4.30 states/eV/f.u.



What did the fifth record say?
MoWN3 | the Alexandria database | PBE | relaxed; formation energy (no corrections) = 0.0439 eV/atom; SG = P-1; calculated total energy = -9.71 eV/atom; total moment = 0.00 μB/cell; D(E_F) = 1.07 states/eV/f.u.
1.0
-3.4941 0.5160 -4.7877
-2.3436 -5.9788 3.6337
-1.9585 5.9289 4.6550
Mo W N
4 4 12
direct
0.8349 0.2296 0.5739
0.1651 0.7704 0.4261
0.8271 0.5568 0.8986
0.1729 0.4432 0.1014
0.2351 0.0788 0.1586
0.7649 0.9212 0.8414
0.2626 0.6611 0.8052
0.7374 0.3389 0.1948
0.5969 0.6998 0.9428
0.4031 0.3002 0.0572
0.1357 0.9764 0.3420
0.8643 0.0236 0.6580
0.0933 0.8459 0.9281
0.9067 0.1541 0.0719
0.8386 0.5866 0.3799
0.1614 0.4134 0.6201
0.4016 0.8582 0.6837
0.5984 0.1418 0.3163
0.3556 0.6805 0.2852
0.6444 0.3195 0.7148